ErZrInTc (PBE-GGA, relaxed); symmetry = F-43m (216); density = 9.253 Mg/m³; ΔH_f (0 K) = -190 meV per atom; crystal system = cubic; D(E_F) = 2.4 states/eV per cell
1.0
-2.552 -4.005 -1.313
2.186 -4.416 -0.024
-1.214 -3.368 3.386
Tc In Er Zr
1 1 1 1
Direct
0.000 0.000 0.000
0.500 0.500 0.500
0.750 0.750 0.750
0.250 0.250 0.250



Na6Tl2HgPb (PBE-GGA, relaxed); symmetry = C2/c (15); density = 5.173 Mg/m³; ΔH_f (0 K) = -112 meV per atom; crystal system = monoclinic; D(E_F) = 7.5 states/eV per cell
1.0
7.937 -0.146 1.056
-1.117 7.859 1.056
-0.954 -1.078 9.555
Tl Na Hg Pb
4 12 2 2
Direct
0.274 0.225 0.639
0.225 0.274 0.139
0.775 0.726 0.861
0.726 0.775 0.361
0.055 0.459 0.846
0.181 0.945 0.912
0.945 0.541 0.154
0.945 0.181 0.412
0.696 0.432 0.580
0.541 0.945 0.654
0.568 0.304 0.920
0.055 0.819 0.588
0.304 0.568 0.420
0.432 0.696 0.080
0.819 0.055 0.088
0.459 0.055 0.346
0.592 0.408 0.250
0.408 0.592 0.750
0.883 0.117 0.750
0.117 0.883 0.250



Y8Tm4Mg (PBE-GGA, relaxed); symmetry = R-3m (166); density = 5.603 Mg/m³; ΔH_f (0 K) = 191 meV per atom; crystal system = trigonal; D(E_F) = 19.4 states/eV per cell
1.0
6.271 0.000 -3.383
-4.048 5.864 0.000
1.461 1.009 10.211
Y Tm Mg
8 4 1
Direct
0.034 0.779 0.288
0.966 0.745 0.712
0.509 0.255 0.288
0.034 0.255 0.288
0.575 0.787 0.362
0.491 0.745 0.712
0.966 0.221 0.712
0.425 0.213 0.638
0.500 0.500 0.000
0.500 0.000 0.000
0.000 0.500 0.000
0.000 0.000 0.000
0.000 0.500 0.500



Zn6NiIr2 (PBE-GGA, relaxed); symmetry = C2/m (12); density = 9.246 Mg/m³; ΔH_f (0 K) = 32 meV per atom; offset from the most stable computed form = 170 meV per atom; crystal system = monoclinic; D(E_F) = 3.1 states/eV per cell
1.0
-0.813 -1.641 -3.718
-2.317 -4.744 2.600
-3.962 5.896 0.565
Zn Ir Ni
6 2 1
Direct
0.164 0.410 0.330
0.500 0.234 0.000
0.164 0.919 0.330
0.836 0.590 0.670
0.500 0.766 0.000
0.836 0.081 0.670
0.338 0.337 0.673
0.662 0.663 0.327
0.000 0.000 0.000